Record 1
VASP calculation (GGA-PBE) on a relaxed Zr2AsW crystal.

a b c (Å): 3.504 3.504 6.149
angles (deg): 90.00 90.00 90.00
Positions (direct):
W 0.500 0.500 0.750
Zr 0.000 0.000 0.002
Zr 0.000 0.000 0.498
As 0.500 0.500 0.250

## Properties
Its crystal system is tetragonal. The value obtained for the final energy is -9.062 eV per atom. The symmetry is P4/mmm. The calculation puts the total moment at 0.00 Bohr magnetons per cell. For the formation energy, the calculation gives -37.4 kJ/mol of atoms.

=====

Record 2
VASP calculation (GGA-PBE) on a relaxed Zr2AsW crystal.

a b c (Å): 8.109 8.109 8.109
angles (deg): 24.46 24.46 24.46
Positions (direct):
Zr 0.504 0.504 0.504
Zr 0.996 0.996 0.996
W 0.750 0.750 0.750
As 0.250 0.250 0.250

## Properties
Its crystal system is trigonal. The value obtained for the final energy is -8.847 eV per atom. The symmetry is R-3m. The calculation puts the total moment at 0.00 Bohr magnetons per cell. For the formation energy, the calculation gives -16.7 kJ/mol of atoms.

=====

Record 3
VASP calculation (GGA-PBE) on a relaxed ZrAsW2 crystal.

a b c (Å): 5.256 5.256 5.256
angles (deg): 142.11 127.97 66.15
Positions (direct):
W 0.765 0.265 0.500
W 0.999 0.999 0.000
Zr 0.499 0.499 0.000
As 0.237 0.737 0.500

## Properties
Its crystal system is orthorhombic. The value obtained for the final energy is -9.653 eV per atom. The symmetry is Imm2. The calculation puts the total moment at 0.00 Bohr magnetons per cell. For the formation energy, the calculation gives 11.9 kJ/mol of atoms.

=====

Record 4
VASP calculation (GGA-PBE) on a relaxed ZrAsW2 crystal.

a b c (Å): 2.948 2.948 8.586
angles (deg): 90.00 90.00 110.21
Positions (direct):
W 0.000 0.000 0.521
W 0.000 0.000 0.979
Zr 0.500 0.500 0.250
As 0.500 0.500 0.750

## Properties
Its crystal system is orthorhombic. The value obtained for the final energy is -9.512 eV per atom. The symmetry is Cmmm. The calculation puts the total moment at 0.00 Bohr magnetons per cell. For the formation energy, the calculation gives 25.4 kJ/mol of atoms.

=====

Record 5
VASP calculation (GGA-PBE) on a relaxed Zr2AsW crystal.

a b c (Å): 5.020 5.020 4.778
angles (deg): 68.79 68.79 43.20
Positions (direct):
Zr 0.001 0.001 0.992
Zr 0.499 0.499 0.508
As 0.750 0.750 0.750
W 0.250 0.250 0.250

## Properties
Its crystal system is monoclinic. The value obtained for the final energy is -8.773 eV per atom. The symmetry is C2/m. The calculation puts the total moment at 0.00 Bohr magnetons per cell. For the formation energy, the calculation gives -9.5 kJ/mol of atoms.

=====

Record 6
VASP calculation (GGA-PBE) on a relaxed ZrAs2W crystal.

a b c (Å): 2.949 2.949 9.878
angles (deg): 90.00 90.00 106.15
Positions (direct):
W 0.000 0.000 0.503
As 0.500 0.500 0.311
As 0.000 0.000 0.951
Zr 0.500 0.500 0.736

## Properties
Its crystal system is orthorhombic. The value obtained for the final energy is -7.781 eV per atom. Its energy above the most stable polymorph in this dataset is 435 meV per atom. The symmetry is Cmm2. The calculation puts the total moment at 0.00 Bohr magnetons per cell. For the formation energy, the calculation gives -7.8 kJ/mol of atoms.

=====

Record 7
VASP calculation (GGA-PBE) on a relaxed ZrAs2W crystal.

a b c (Å): 4.650 4.650 4.650
angles (deg): 60.00 60.00 60.00
Positions (direct):
W 0.500 0.500 0.500
Zr 0.750 0.750 0.750
As 0.000 0.000 0.000
As 0.250 0.250 0.250

## Properties
Its crystal system is cubic. The value obtained for the final energy is -7.508 eV per atom. Its energy above the most stable polymorph in this dataset is 708 meV per atom. The symmetry is F-43m. The calculation puts the total moment at 0.00 Bohr magnetons per cell. For the formation energy, the calculation gives 18.6 kJ/mol of atoms.

=====

Record 8
VASP calculation (GGA-PBE) on a relaxed ZrAsW2 crystal.

a b c (Å): 3.854 3.854 10.410
angles (deg): 79.33 79.33 90.00
Positions (direct):
W 0.146 0.625 0.250
W 0.375 0.396 0.750
W 0.604 0.125 0.250
W 0.875 0.854 0.750
Zr 0.000 0.000 0.000
Zr 0.750 0.250 0.500
As 0.500 0.500 0.000
As 0.250 0.750 0.500

## Properties
Its crystal system is tetragonal. The value obtained for the final energy is -9.376 eV per atom. The symmetry is I-42d. The calculation puts the total moment at 0.00 Bohr magnetons per cell. For the formation energy, the calculation gives 38.6 kJ/mol of atoms.

=====

Record 9
VASP calculation (GGA-PBE) on a relaxed ZrAs2W crystal.

a b c (Å): 4.188 4.188 5.873
angles (deg): 76.92 76.92 47.10
Positions (direct):
As 0.994 0.994 0.033
As 0.506 0.506 0.467
Zr 0.750 0.750 0.750
W 0.250 0.250 0.250

## Properties
Its crystal system is monoclinic. The value obtained for the final energy is -7.894 eV per atom. Its energy above the most stable polymorph in this dataset is 321 meV per atom. The symmetry is C2/m. The calculation puts the total moment at 0.00 Bohr magnetons per cell. For the formation energy, the calculation gives -18.7 kJ/mol of atoms.

=====

Record 10
VASP calculation (GGA-PBE) on a relaxed Zr2AsW crystal.

a b c (Å): 4.412 3.465 5.377
angles (deg): 71.33 90.00 90.00
Positions (direct):
W 0.500 0.538 0.799
Zr 0.000 0.985 0.906
Zr 0.500 0.272 0.330
As 0.000 0.704 0.465

## Properties
Its crystal system is monoclinic. The value obtained for the final energy is -9.046 eV per atom. The symmetry is Pm. The calculation puts the total moment at 0.00 Bohr magnetons per cell. For the formation energy, the calculation gives -35.8 kJ/mol of atoms.

=====

Record 11
VASP calculation (GGA-PBE) on a relaxed ZrAs2W crystal.

a b c (Å): 4.858 3.332 4.926
angles (deg): 70.59 90.00 90.00
Positions (direct):
As 0.000 0.080 0.967
As 0.500 0.385 0.345
Zr 0.500 0.671 0.784
W 0.000 0.364 0.404

## Properties
Its crystal system is monoclinic. The value obtained for the final energy is -7.916 eV per atom. Its energy above the most stable polymorph in this dataset is 300 meV per atom. The symmetry is Pm. The calculation puts the total moment at 0.00 Bohr magnetons per cell. For the formation energy, the calculation gives -20.8 kJ/mol of atoms.

=====

Record 12
VASP calculation (GGA-PBE) on a relaxed ZrAs2W crystal.

a b c (Å): 6.473 6.473 6.473
angles (deg): 149.37 148.02 44.87
Positions (direct):
As 0.963 0.963 0.000
As 0.702 0.202 0.500
W 0.543 0.543 0.000
Zr 0.291 0.791 0.500

## Properties
Its crystal system is orthorhombic. The value obtained for the final energy is -8.216 eV per atom. Its energy above the most stable polymorph in this dataset is 0 meV per atom. The symmetry is Imm2. The calculation puts the total moment at 0.00 Bohr magnetons per cell. For the formation energy, the calculation gives -49.7 kJ/mol of atoms.

=====

Record 13
VASP calculation (GGA-PBE) on a relaxed ZrAsW2 crystal.

a b c (Å): 5.079 5.079 4.569
angles (deg): 74.89 74.89 37.97
Positions (direct):
W 0.512 0.512 0.468
W 0.988 0.988 0.032
As 0.250 0.250 0.250
Zr 0.750 0.750 0.750

## Properties
Its crystal system is monoclinic. The value obtained for the final energy is -9.714 eV per atom. The symmetry is C2/m. The calculation puts the total moment at 0.00 Bohr magnetons per cell. For the formation energy, the calculation gives 6.0 kJ/mol of atoms.

=====

Record 14
VASP calculation (GGA-PBE) on a relaxed ZrAsW2 crystal.

a b c (Å): 9.159 9.159 9.159
angles (deg): 18.95 18.95 18.95
Positions (direct):
As 0.750 0.750 0.750
W 0.489 0.489 0.489
W 0.011 0.011 0.011
Zr 0.250 0.250 0.250

## Properties
Its crystal system is trigonal. The value obtained for the final energy is -9.363 eV per atom. The symmetry is R-3m. The calculation puts the total moment at 0.00 Bohr magnetons per cell. For the formation energy, the calculation gives 39.9 kJ/mol of atoms.

=====

Record 15
VASP calculation (GGA-PBE) on a relaxed Zr4AsW crystal.

a b c (Å): 5.621 5.621 5.621
angles (deg): 60.00 60.00 60.00
Positions (direct):
W 0.000 0.000 0.000
Zr 0.373 0.881 0.373
Zr 0.373 0.373 0.881
Zr 0.373 0.373 0.373
Zr 0.881 0.373 0.373
As 0.750 0.750 0.750

## Properties
Its crystal system is cubic. The value obtained for the final energy is -8.047 eV per atom. The symmetry is F-43m. The calculation puts the total moment at 0.00 Bohr magnetons per cell. For the formation energy, the calculation gives 56.5 kJ/mol of atoms.